Entry 1:
BaAgTeO after structural relaxation, computed with PBE-GGA.

```
BaAgTeO
1.0
2.262 -7.039 0.000
2.262 7.039 0.000
0.000 0.000 7.117
Ba Ag Te O
2 2 2 2
direct
0.147 0.853 0.500
0.853 0.147 0.000
0.455 0.545 0.642
0.545 0.455 0.142
0.142 0.858 0.001
0.858 0.142 0.501
0.428 0.572 0.941
0.572 0.428 0.441
```

=====

Entry 2:
Re2TeSe3 after structural relaxation, computed with PBE-GGA.

```
Re2TeSe3
1.0
6.772 0.000 0.000
3.371 6.091 0.000
1.658 1.575 6.973
Re Te Se
4 2 6
direct
0.011 0.299 0.003
0.426 0.317 0.010
0.574 0.683 0.990
0.989 0.701 0.997
0.157 0.853 0.204
0.843 0.147 0.796
0.111 0.372 0.274
0.344 0.665 0.766
0.376 0.116 0.802
0.624 0.884 0.198
0.656 0.335 0.234
0.889 0.628 0.726
```

Polymorph energy (0 for the lowest one): 0 meV/atom

=====

Entry 3:
NaSrTbTe3 after structural relaxation, computed with PBE-GGA.

```
NaSrTbTe3
1.0
9.619 -2.225 0.000
9.619 2.225 0.000
-2.453 0.000 9.395
Na Sr Tb Te
2 2 2 6
direct
0.007 0.007 0.205
0.993 0.993 0.795
0.365 0.365 0.433
0.635 0.635 0.567
0.334 0.334 0.913
0.666 0.666 0.087
0.000 0.000 0.500
0.168 0.168 0.860
0.181 0.181 0.319
0.500 0.500 0.000
0.819 0.819 0.681
0.832 0.832 0.140
```

Polymorph energy (0 for the lowest one): 0 meV/atom

=====

Entry 4:
Y2Ta2SiGe after structural relaxation, computed with PBE-GGA.

```
Y2Ta2SiGe
1.0
4.014 0.000 0.000
0.000 4.014 0.000
0.000 0.000 7.803
Y Ta Si Ge
2 2 1 1
direct
0.000 0.000 0.000
0.500 0.500 0.296
0.000 0.500 0.644
0.500 0.000 0.644
0.000 0.000 0.406
0.500 0.500 0.892
```

=====

Entry 5:
Dy2SnC4 after structural relaxation, computed with PBE-GGA.

```
Dy2SnC4
1.0
-4.588 4.718 2.650
4.588 -4.718 2.650
4.588 4.718 -2.650
Dy Sn C
4 2 8
direct
0.144 0.148 0.292
0.356 0.648 0.004
0.644 0.352 0.996
0.856 0.852 0.708
0.250 0.750 0.500
0.750 0.250 0.500
0.116 0.751 0.867
0.132 0.893 0.025
0.368 0.393 0.761
0.384 0.251 0.635
0.616 0.749 0.365
0.632 0.607 0.239
0.868 0.107 0.975
0.884 0.249 0.133
```

=====

Entry 6:
Li2InTe4Ir after structural relaxation, computed with PBE-GGA.

```
Li2InTe4Ir
1.0
-3.202 3.202 6.119
3.202 -3.202 6.119
3.202 3.202 -6.119
Li In Te Ir
2 1 4 1
direct
0.000 0.000 0.000
0.750 0.250 0.500
0.250 0.750 0.500
0.140 0.614 0.984
0.386 0.370 0.526
0.630 0.156 0.016
0.844 0.860 0.474
0.500 0.500 0.000
```

=====

Entry 7:
ZrGe2W2 after structural relaxation, computed with PBE-GGA.

```
ZrGe2W2
1.0
-1.960 1.960 5.759
1.960 -1.960 5.759
1.960 1.960 -5.759
Zr Ge W
1 2 2
direct
0.000 0.000 0.000
0.396 0.396 0.000
0.604 0.604 0.000
0.250 0.750 0.500
0.750 0.250 0.500
```

=====

Entry 8:
BaLuFe after structural relaxation, computed with PBE-GGA.

```
BaLuFe
1.0
0.000 3.549 3.549
3.549 0.000 3.549
3.549 3.549 0.000
Ba Lu Fe
1 1 1
direct
0.000 0.000 0.000
0.500 0.500 0.500
0.250 0.250 0.250
```

=====

Entry 9:
SmNiAu after structural relaxation, computed with PBE-GGA.

```
SmNiAu
1.0
0.000 3.191 3.191
3.191 0.000 3.191
3.191 3.191 0.000
Sm Ni Au
1 1 1
direct
0.000 0.000 0.000
0.750 0.750 0.750
0.500 0.500 0.500
```

=====

Entry 10:
PmFeCu after structural relaxation, computed with PBE-GGA.

```
PmFeCu
1.0
0.000 3.187 3.187
3.187 0.000 3.187
3.187 3.187 0.000
Pm Fe Cu
1 1 1
direct
0.000 0.000 0.000
0.500 0.500 0.500
0.750 0.750 0.750
```

Polymorph energy (0 for the lowest one): 0 meV/atom

=====

Entry 11:
GdY2Al after structural relaxation, computed with PBE-GGA.

```
GdY2Al
1.0
5.336 0.000 0.000
0.000 3.529 5.946
0.000 -3.529 5.946
Gd Y Al
2 4 2
direct
0.000 0.000 0.000
0.500 0.294 0.294
0.000 0.473 0.473
0.500 0.331 0.815
0.500 0.815 0.331
0.500 0.821 0.821
0.000 0.520 0.930
0.000 0.930 0.520
```

Polymorph energy (0 for the lowest one): 111 meV/atom

=====

Entry 12:
La2Nd2Si3 after structural relaxation, computed with PBE-GGA.

```
La2Nd2Si3
1.0
2.365 -10.960 0.000
2.365 10.960 0.000
0.000 0.000 7.129
La Nd Si
4 4 6
direct
0.186 0.814 0.512
0.186 0.814 0.988
0.814 0.186 0.012
0.814 0.186 0.488
0.382 0.618 0.750
0.455 0.545 0.250
0.545 0.455 0.750
0.618 0.382 0.250
0.049 0.951 0.076
0.049 0.951 0.424
0.313 0.687 0.250
0.687 0.313 0.750
0.951 0.049 0.576
0.951 0.049 0.924
```

=====

Across the entries above, E_tot takes the values -4.2557, -6.7266, -4.2335, -8.3945, -7.0707, -3.7952, -8.7094, -4.2301, -4.9617, -5.1835, -5.4186, -5.6007 eV per atom, respectively.